No. 1
AcGd2Pt: relaxed, GGA-PBE.

## Properties
Formation energy from the elements, eV per atom: -0.56
Total DFT energy (no corrections), eV/atom: -10.139

Cell lengths 3.6501, 3.6501, 9.0478 Å; angles 90.00, 90.00, 90.00 degrees
Closest atoms and distances in Å follow each position.
Sites, in units of the cell vectors:
Ac: 0.5000 0.5000 0.5000  4 Ac 3.65, 8 Gd 3.88
Gd: 0.0000 0.0000 0.8204  4 Pt 3.05, 1 Gd 3.25
Gd: 0.0000 0.0000 0.1796  4 Pt 3.05, 1 Gd 3.25
Pt: 0.5000 0.5000 0.0000  8 Gd 3.05

***

No. 2
Zr7Bi2SbH2: relaxed, GGA-PBE.

## Properties
Total DFT energy (no corrections), eV/atom: -6.976

Cell lengths 4.3332, 4.3332, 13.1085 Å; angles 78.43, 78.43, 89.73 degrees
Closest atoms and distances in Å follow each position.
Sites, in units of the cell vectors:
Zr: 0.5000 0.5000 0.0000  2 H 2.15
Zr: 0.2505 0.2505 0.4009  1 H 2.89, 5 Bi 3.02-3.14
Zr: 0.7495 0.7495 0.5991  1 H 2.89, 5 Bi 3.02-3.14
Zr: 0.8881 0.3862 0.1861  2 H 2.17-2.18
Zr: 0.3862 0.8881 0.1861  2 H 2.17-2.18
Zr: 0.6138 0.1119 0.8139  2 H 2.17-2.18
Zr: 0.1119 0.6138 0.8139  2 H 2.17-2.18
Bi: 0.7787 0.7787 0.3651  9 Zr 3.02-3.14
Bi: 0.2213 0.2213 0.6349  9 Zr 3.02-3.14
Sb: 0.0000 0.0000 0.0000  12 Zr 3.06-3.19
H: 0.6028 0.6028 0.8291  5 Zr 2.15-2.18
H: 0.3972 0.3972 0.1709  5 Zr 2.15-2.18

***

No. 3
CeZnIn2: relaxed, GGA-PBE.

## Properties
Formation energy from the elements, eV per atom: -0.20
Total DFT energy (no corrections), eV/atom: -3.368

Cell lengths 4.6111, 4.6111, 6.1073 Å; angles 67.82, 67.82, 60.00 degrees
Closest atoms and distances in Å follow each position.
Sites, in units of the cell vectors:
Zn: 0.5000 0.5000 0.5000  6 In 2.82
Ce: 0.0000 0.0000 0.0000  6 In 3.22
In: 0.7767 0.7767 0.6698  3 Zn 2.82
In: 0.2233 0.2233 0.3302  3 Zn 2.82

***

No. 4
DyHo2Hg2: relaxed, GGA-PBE.

## Properties
Formation energy from the elements, eV per atom: -0.39
Total DFT energy (no corrections), eV/atom: -3.259

Cell lengths 3.7329, 5.2773, 13.6820 Å; angles 90.00, 97.89, 90.00 degrees
Closest atoms and distances in Å follow each position.
Sites, in units of the cell vectors:
Dy: 0.8535 0.7500 0.7072  6 Hg 3.23-3.27, 2 Ho 3.58
Dy: 0.1465 0.2500 0.2928  6 Hg 3.23-3.27, 2 Ho 3.58
Ho: 0.0470 0.7500 0.0948  8 Hg 3.17-3.23
Ho: 0.9530 0.2500 0.9052  8 Hg 3.17-3.23
Ho: 0.2355 0.7500 0.4714  2 Hg 3.11, 4 Ho 3.32
Ho: 0.7645 0.2500 0.5286  2 Hg 3.11, 4 Ho 3.32
Hg: 0.6437 0.7500 0.2879  4 Ho 3.11-3.22, 4 Dy 3.23
Hg: 0.3563 0.2500 0.7121  4 Ho 3.11-3.22, 4 Dy 3.23
Hg: 0.4528 0.7500 0.9050  6 Ho 3.17-3.23, 2 Dy 3.27
Hg: 0.5472 0.2500 0.0950  6 Ho 3.17-3.23, 2 Dy 3.27

***

No. 5
ReTcHg: relaxed, GGA-PBE.

## Properties
Formation energy from the elements, eV per atom: 1.02
Total DFT energy (no corrections), eV/atom: -6.688

Cell lengths 4.3423, 4.3423, 4.3423 Å; angles 60.00, 60.00, 60.00 degrees
Closest atoms and distances in Å follow each position.
Sites, in units of the cell vectors:
Hg: 0.0000 0.0000 0.0000  4 Tc 2.66
Re: 0.5000 0.5000 0.5000  4 Tc 2.66
Tc: 0.2500 0.2500 0.2500  4 Hg 2.66, 4 Re 2.66

***

No. 6
As2Ru: relaxed, GGA-PBE.

## Properties
Formation energy from the elements, eV per atom: -0.17
Total DFT energy (no corrections), eV/atom: -6.361

Cell lengths 6.4526, 6.4526, 6.2914 Å; angles 61.33, 61.33, 27.88 degrees
Closest atoms and distances in Å follow each position.
Sites, in units of the cell vectors:
As: 0.5834 0.5834 0.2232  3 Ru 2.48-2.50
As: 0.8623 0.8623 0.3334  3 Ru 2.53-2.54
As: 0.1377 0.1377 0.6666  3 Ru 2.53-2.54
As: 0.4166 0.4166 0.7768  3 Ru 2.48-2.50
Ru: 0.2447 0.2447 0.2036  6 As 2.48-2.54
Ru: 0.7553 0.7553 0.7964  6 As 2.48-2.54

***

No. 7
CsFeSeBr2: relaxed, GGA-PBE.

## Properties
Total DFT energy (no corrections), eV/atom: -3.913

Cell lengths 5.5327, 5.5327, 4.8171 Å; angles 90.00, 90.00, 90.00 degrees
Closest atoms and distances in Å follow each position.
Sites, in units of the cell vectors:
Cs: 0.5000 0.5000 0.5000  8 Br 3.67, 4 Se 3.91
Se: 0.0000 0.0000 0.5000  2 Fe 2.41
Br: 0.0000 0.5000 0.0000  2 Fe 2.77
Br: 0.5000 0.0000 0.0000  2 Fe 2.77
Fe: 0.0000 0.0000 0.0000  2 Se 2.41

***

No. 8
Y2Co3Os: relaxed, GGA-PBE.

## Properties
Formation energy from the elements, eV per atom: -0.21
Total DFT energy (no corrections), eV/atom: -7.786

Cell lengths 5.1964, 5.1964, 5.1009 Å; angles 89.94, 120.65, 120.04 degrees
Closest atoms and distances in Å follow each position.
Sites, in units of the cell vectors:
Y: 0.7468 0.3734 0.1202  9 Co 2.96-3.04, 3 Os 3.04, 4 Y 3.13-3.16
Y: 0.2532 0.6266 0.8798  9 Co 2.96-3.04, 3 Os 3.04, 4 Y 3.13-3.16
Co: 0.5000 0.5000 0.5000  2 Os 2.55, 4 Co 2.60
Co: 0.0000 0.0000 0.5000  2 Os 2.55, 4 Co 2.60
Co: 0.5000 0.0000 0.5000  2 Os 2.55, 4 Co 2.60
Os: 0.0000 0.0000 0.0000  6 Co 2.55

***

No. 9
Nd5TmTe6: relaxed, GGA-PBE.

## Properties
Total DFT energy (no corrections), eV/atom: -5.315

Cell lengths 7.7142, 7.7461, 7.7441 Å; angles 59.99, 80.43, 70.59 degrees
Closest atoms and distances in Å follow each position.
Sites, in units of the cell vectors:
Nd: 0.5000 0.1770 0.6460  6 Te 3.16-3.22
Nd: 0.0000 0.3321 0.3357  6 Te 3.16-3.21
Nd: 0.5000 0.5000 0.0000  6 Te 3.16-3.24
Nd: 0.0000 0.6679 0.6643  6 Te 3.16-3.21
Nd: 0.5000 0.8230 0.3540  6 Te 3.16-3.22
Tm: 0.0000 0.0000 0.0000  6 Te 3.04-3.07
Te: 0.7582 0.0807 0.3204  1 Tm 3.04, 5 Nd 3.16-3.18
Te: 0.2418 0.5989 0.3204  1 Tm 3.04, 5 Nd 3.16-3.18
Te: 0.2497 0.2376 0.0000  1 Tm 3.07, 5 Nd 3.21-3.24
Te: 0.7503 0.7624 0.0000  1 Tm 3.07, 5 Nd 3.21-3.24
Te: 0.7582 0.4011 0.6796  1 Tm 3.04, 5 Nd 3.16-3.18
Te: 0.2418 0.9193 0.6796  1 Tm 3.04, 5 Nd 3.16-3.18

***

No. 10
ThGaHg: relaxed, GGA-PBE.

## Properties
Formation energy from the elements, eV per atom: -0.17
Total DFT energy (no corrections), eV/atom: -3.748

Cell lengths 4.8315, 4.8315, 4.8315 Å; angles 60.00, 60.00, 60.00 degrees
Closest atoms and distances in Å follow each position.
Sites, in units of the cell vectors:
Ga: 0.2500 0.2500 0.2500  4 Th 2.96, 4 Hg 2.96
Hg: 0.0000 0.0000 0.0000  4 Ga 2.96
Th: 0.5000 0.5000 0.5000  4 Ga 2.96

***

No. 11
CdSeF6: relaxed, GGA-PBE.

## Properties
Total DFT energy (no corrections), eV/atom: -3.805

Cell lengths 5.4001, 5.4009, 5.8378 Å; angles 62.42, 62.40, 59.96 degrees
Closest atoms and distances in Å follow each position.
Sites, in units of the cell vectors:
Cd: 0.5000 0.5000 0.5000  6 F 2.27
Se: 0.0000 0.0000 0.0000  6 F 1.96
F: 0.0962 0.3622 0.7691  1 Se 1.96
F: 0.7727 0.0964 0.7691  1 Se 1.96
F: 0.6377 0.2274 0.2311  1 Se 1.96
F: 0.2273 0.9036 0.2309  1 Se 1.96
F: 0.9038 0.6378 0.2309  1 Se 1.96
F: 0.3623 0.7726 0.7689  1 Se 1.96

***

No. 12
Y3Ho3In: relaxed, GGA-PBE.

## Properties
Formation energy from the elements, eV per atom: -0.12
Total DFT energy (no corrections), eV/atom: -5.242

Cell lengths 5.5183, 9.3956, 9.3971 Å; angles 120.02, 90.00, 90.00 degrees
Closest atoms and distances in Å follow each position.
Sites, in units of the cell vectors:
Y: 0.2500 0.5204 0.6261  3 In 3.40-3.64, 4 Y 3.42-3.53, 5 Ho 3.45-3.69
Y: 0.2500 0.1054 0.4793  3 In 3.39-3.63, 4 Y 3.42-3.53, 5 Ho 3.45-3.69
Y: 0.2500 0.3738 0.8945  3 In 3.39-3.64, 4 Y 3.43-3.53, 5 Ho 3.45-3.69
Y: 0.7500 0.4796 0.3739  3 In 3.40-3.64, 4 Y 3.42-3.53, 5 Ho 3.45-3.69
Y: 0.7500 0.8946 0.5207  3 In 3.39-3.63, 4 Y 3.42-3.53, 5 Ho 3.45-3.69
Y: 0.7500 0.6262 0.1055  3 In 3.39-3.64, 4 Y 3.43-3.53, 5 Ho 3.45-3.69
Ho: 0.7500 0.7595 0.8226  6 Ho 3.42-3.51, 5 Y 3.45-3.69, 1 In 3.51
Ho: 0.7500 0.0631 0.2404  6 Ho 3.42-3.51, 5 Y 3.45-3.69, 1 In 3.51
Ho: 0.7500 0.1774 0.9372  6 Ho 3.42-3.51, 5 Y 3.45-3.69, 1 In 3.51
Ho: 0.2500 0.2405 0.1774  6 Ho 3.42-3.51, 5 Y 3.45-3.69, 1 In 3.51
Ho: 0.2500 0.9369 0.7596  6 Ho 3.42-3.51, 5 Y 3.45-3.69, 1 In 3.51
Ho: 0.2500 0.8226 0.0628  6 Ho 3.42-3.51, 5 Y 3.45-3.69, 1 In 3.51
In: 0.7500 0.3331 0.6667  9 Y 3.39-3.64, 3 Ho 3.51
In: 0.2500 0.6669 0.3332  9 Y 3.39-3.64, 3 Ho 3.51